Here is UTa3Ni4S12 after structural relaxation from Alexandria. Energies are from GGA-PBE.

The structure in POSCAR format:
```
UTa3Ni4S12
1.0
7.893 -0.143 -0.199
-2.041 7.626 -0.199
-2.041 -2.610 7.169
S Ta Ni U
12 3 4 1
Cartesian
0.118 6.918 1.408 S
3.693 5.734 -0.237 S
-2.874 3.092 5.362 S
-2.071 5.547 3.385 S
5.883 3.424 0.436 S
0.258 3.726 3.385 S
-0.864 -0.093 7.007 S
3.554 2.846 2.163 S
1.906 0.739 4.607 S
1.906 -1.661 6.335 S
4.675 -1.801 4.634 S
6.686 0.770 2.136 S
-2.041 3.062 3.086 Ta
3.464 3.321 -0.199 Ta
2.389 -1.510 3.883 Ta
1.906 2.437 3.385 Ni
6.179 -0.905 3.385 Ni
-2.367 1.376 6.554 Ni
1.906 6.839 0.216 Ni
0.000 0.000 0.000 U
```

## Properties
ΔE_f (raw) in eV/atom: -0.519
Spin magnetization in μB per formula unit: 0.28

***

Here is Mn4Br after structural relaxation from Alexandria. Energies are from GGA-PBE.

The structure in POSCAR format:
```
Mn4Br
1.0
1.992 2.402 3.640
-4.757 -0.135 0.587
1.725 -4.472 -0.098
Mn Br
4 1
Cartesian
0.996 1.201 1.820 Mn
0.863 -2.236 -0.049 Mn
-0.520 -1.102 2.065 Mn
-2.378 -0.067 0.293 Mn
0.000 0.000 0.000 Br
```

## Properties
ΔE_f (raw) in eV/atom: 1.213
Energy relative to the lowest polymorph listed for this composition in eV per formula unit: 3.63
Spin magnetization in μB per formula unit: 12.21

***

Here is RbBP2W after structural relaxation from Alexandria. Energies are from GGA-PBE.

The structure in POSCAR format:
```
RbBP2W
1.0
4.665 0.000 0.000
0.000 6.916 0.000
0.000 0.000 4.665
P W Rb B
2 1 1 1
Cartesian
0.000 0.000 2.333 P
2.333 0.000 0.000 P
0.000 0.000 0.000 W
0.000 3.458 0.000 Rb
2.333 3.458 2.333 B
```

## Properties
Total DFT energy (no corrections) in eV per atom: -4.816
Spin magnetization in μB per formula unit: 2.51

***

Here is MgRh3 after structural relaxation from Alexandria. Energies are from GGA-PBE.

The structure in POSCAR format:
```
MgRh3
1.0
-1.235 -1.239 2.168
2.726 -0.362 -0.444
1.741 6.989 4.987
Rh Mg
3 1
Cartesian
0.870 3.495 2.494 Rh
1.390 4.293 5.036 Rh
0.521 0.803 2.546 Rh
0.000 0.000 0.000 Mg
```

## Properties
Total DFT energy (no corrections) in eV per atom: -6.016
Spin magnetization in μB per formula unit: 0.00

***

Here is MnIrOs2 after structural relaxation from Alexandria. Energies are from GGA-PBE.

The structure in POSCAR format:
```
MnIrOs2
1.0
-2.186 -1.436 0.601
1.409 -0.663 -2.186
5.072 -5.638 4.979
Mn Os Ir
1 2 1
Cartesian
3.415 -5.278 2.942 Mn
5.013 -5.572 4.921 Os
2.595 -2.885 2.548 Os
0.879 -2.459 0.453 Ir
```

## Properties
Energy relative to the lowest polymorph listed for this composition in eV per formula unit: 1.71
Spin magnetization in μB per formula unit: 2.84

***

Here is CaErHg after structural relaxation from Alexandria. Energies are from GGA-PBE.

The structure in POSCAR format:
```
CaErHg
1.0
5.138 -0.037 -0.051
-2.542 4.465 0.051
-2.542 -1.484 4.208
Er Ca Hg
1 1 1
Cartesian
2.592 1.455 1.729 Er
0.050 2.945 3.859 Ca
0.024 -0.014 2.794 Hg
```

## Properties
Energy relative to the lowest polymorph listed for this composition in eV per formula unit: 0.44
Spin magnetization in μB per formula unit: 0.00

***

Here is MgUBi after structural relaxation from Alexandria. Energies are from GGA-PBE.

The structure in POSCAR format:
```
MgUBi
1.0
-0.810 -5.656 -2.702
5.746 -1.564 1.550
1.368 -4.065 8.098
U Bi Mg
4 4 4
Cartesian
4.603 -7.949 6.631 U
4.844 -2.235 1.989 U
1.701 -3.335 0.315 U
1.460 -9.050 4.957 U
5.305 -4.825 7.350 Bi
0.998 -6.460 -0.403 Bi
4.149 -5.300 1.300 Bi
2.154 -5.984 5.647 Bi
5.027 -5.141 4.312 Mg
4.013 -7.879 2.954 Mg
1.277 -6.144 2.635 Mg
2.291 -3.406 3.992 Mg
```

## Properties
Total DFT energy (no corrections) in eV per atom: -5.501
Spin magnetization in μB per formula unit: 1.30

***

Here is Rb2NbI5Br after structural relaxation from Alexandria. Energies are from GGA-PBE.

The structure in POSCAR format:
```
Rb2NbI5Br
1.0
8.084 0.026 0.038
-3.816 7.127 -0.038
-3.816 -2.574 6.647
I Rb Nb Br
5 2 1 1
Cartesian
-1.591 3.464 5.027 I
-3.804 4.785 1.562 I
2.067 1.102 1.600 I
-1.895 1.131 1.641 I
-3.804 -0.245 5.027 I
0.235 -0.140 4.987 Rb
0.235 4.710 1.645 Rb
-7.598 4.534 6.580 Nb
-5.830 3.479 5.049 Br
```

## Properties
ΔE_f (raw) in eV/atom: -0.972
Spin magnetization in μB per formula unit: 1.00

***

Q: Which formula does entry 2 have?
A: Mn4Br